Density functional theory data (GGA-PBE) for a relaxed structure of Hf2GaNi2Bi.

Calculated values
The space-group type is No. 122. Its total energy is -6.842 eV/atom. As for the crystal system: tetragonal.

```
Hf2GaNi2Bi
1.0
1.902 6.246 -3.513
-6.920 0.659 2.578
4.033 -1.847 4.147
Bi Ga Hf Ni
2 2 4 4
Direct
0.500 0.500 0.000 Bi
0.750 0.250 0.500 Bi
0.000 0.000 0.000 Ga
0.250 0.750 0.500 Ga
0.759 0.241 0.000 Hf
0.241 0.759 0.000 Hf
0.491 0.509 0.500 Hf
0.009 0.991 0.500 Hf
0.884 0.634 0.009 Ni
0.125 0.375 0.491 Ni
0.625 0.875 0.509 Ni
0.366 0.116 0.991 Ni
```

***

Density functional theory data (GGA-PBE) for a relaxed structure of Fe3Re3Pd2.

Calculated values
The space-group type is No. 38. The formation energy from the elements comes out at 0.100 eV/atom. The energy above the most stable polymorph in this dataset comes out at 0.12 eV/f.u. Its total energy is -8.968 eV/atom. As for the crystal system: orthorhombic.

```
Fe3Re3Pd2
1.0
4.270 0.000 0.000
0.000 2.726 4.677
0.000 -2.726 4.677
Fe Pd Re
3 2 3
Direct
0.500 0.691 0.151 Fe
0.500 0.151 0.691 Fe
0.000 0.843 0.843 Fe
0.000 0.336 0.336 Pd
0.500 0.671 0.671 Pd
0.500 0.159 0.159 Re
0.000 0.835 0.314 Re
0.000 0.314 0.835 Re
```

***

Density functional theory data (GGA-PBE) for a relaxed structure of Np2Br5Cl.

Calculated values
The space-group type is No. 6. Its total energy is -5.880 eV/atom. As for the crystal system: monoclinic.

```
Np2Br5Cl
1.0
7.788 0.000 0.000
0.000 4.396 0.000
-3.786 0.000 6.900
Br Cl Np
5 1 2
Direct
0.389 0.000 0.086 Br
0.917 0.000 0.305 Br
0.300 0.500 0.389 Br
0.082 0.500 0.705 Br
0.621 0.500 0.911 Br
0.681 0.000 0.590 Cl
0.669 0.500 0.342 Np
0.339 0.000 0.672 Np
```

***

Density functional theory data (GGA-PBE) for a relaxed structure of Fe2BP.

Calculated values
The space-group type is No. 31. The energy above the most stable polymorph in this dataset comes out at 0.44 eV/f.u. Its total energy is -7.400 eV/atom. As for the crystal system: orthorhombic.

```
Fe2BP
1.0
3.408 0.000 0.000
0.000 5.429 0.000
0.000 0.000 4.029
B Fe P
2 4 2
Direct
0.000 0.705 0.146 B
0.500 0.295 0.646 B
0.500 0.432 0.127 Fe
0.500 0.939 0.367 Fe
0.000 0.568 0.627 Fe
0.000 0.061 0.867 Fe
0.000 0.218 0.360 P
0.500 0.782 0.860 P
```

***

Density functional theory data (GGA-PBE) for a relaxed structure of CdCoSiHg.

Calculated values
The space-group type is No. 216. The energy above the most stable polymorph in this dataset comes out at 0.00 eV/f.u. Its total energy is -2.886 eV/atom. As for the crystal system: cubic.

```
CdCoSiHg
1.0
0.000 3.250 3.250
3.250 0.000 3.250
3.250 3.250 0.000
Cd Co Hg Si
1 1 1 1
Direct
0.250 0.250 0.250 Cd
0.750 0.750 0.750 Co
0.500 0.500 0.500 Hg
0.000 0.000 0.000 Si
```

***

Density functional theory data (GGA-PBE) for a relaxed structure of PuHfPb.

Calculated values
The space-group type is No. 216. The energy above the most stable polymorph in this dataset comes out at 0.00 eV/f.u. Its total energy is -8.843 eV/atom. As for the crystal system: cubic.

```
PuHfPb
1.0
4.157 -2.205 -1.817
2.291 -3.631 2.647
-0.174 -4.780 -1.601
Hf Pb Pu
1 1 1
Direct
0.500 0.500 0.500 Hf
0.250 0.250 0.250 Pb
0.000 0.000 0.000 Pu
```

***

Density functional theory data (GGA-PBE) for a relaxed structure of RbTbCu3S4.

Calculated values
The space-group type is No. 215. The energy above the most stable polymorph in this dataset comes out at 2.60 eV/f.u. Its total energy is -4.208 eV/atom. As for the crystal system: cubic.

```
RbTbCu3S4
1.0
6.203 0.000 0.000
0.000 6.203 0.000
0.000 0.000 6.203
Cu Rb S Tb
3 1 4 1
Direct
0.500 0.500 0.000 Cu
0.500 0.000 0.500 Cu
0.000 0.500 0.500 Cu
0.000 0.000 0.000 Rb
0.270 0.270 0.270 S
0.730 0.730 0.270 S
0.730 0.270 0.730 S
0.270 0.730 0.730 S
0.500 0.500 0.500 Tb
```

***

Density functional theory data (GGA-PBE) for a relaxed structure of Pr2SmCu2Si4Pd2.

Calculated values
The space-group type is No. 71. Its total energy is -5.656 eV/atom. As for the crystal system: orthorhombic.

```
Pr2SmCu2Si4Pd2
1.0
-9.403 -7.877 -2.743
-11.759 -2.556 -3.634
11.487 5.090 0.390
Cu Pd Pr Si Sm
2 2 2 4 1
Direct
0.249 0.249 0.000 Cu
0.751 0.751 0.000 Cu
0.903 0.403 0.500 Pd
0.097 0.597 0.500 Pd
0.652 0.152 0.500 Pr
0.348 0.848 0.500 Pr
0.452 0.452 0.000 Si
0.548 0.548 0.000 Si
0.802 0.302 0.500 Si
0.198 0.698 0.500 Si
0.000 0.000 0.000 Sm
```